# 1
## KPIrCl2 (PBE-GGA)

Data for a geometry-optimized KPIrCl2 structure.

Results
- Fermi-level density of states (states/eV/f.u.) = 11.8
- E above lowest polymorph (meV/atom) = 2031.6
- total moment (Bohr magnetons per cell) = 3.11
- space-group type = No. 123
- E_form (uncorrected) (kJ per mole of atoms) = 149.2
- total DFT energy (no corrections) (Ha/atom) = -0.0833

```
5
Lattice="5.412 0.000 0.000 0.000 5.412 0.000 0.000 0.000 5.794" Properties=species:S:1:pos:R:3 pbc="T T T"
K 0.000 0.000 0.000
P 0.000 0.000 2.897
Ir 2.706 2.706 2.897
Cl 0.000 2.706 0.000
Cl 2.706 0.000 0.000
```

***

# 2
## YThTePt (PBE-GGA)

Data for a geometry-optimized YThTePt structure.

Results
- Fermi-level density of states (states/eV/f.u.) = 3.7
- total moment (Bohr magnetons per cell) = 0.00
- space-group type = No. 160
- E_form (uncorrected) (kJ per mole of atoms) = -116.0
- total DFT energy (no corrections) (Ha/atom) = -0.2561

```
4
Lattice="2.101 1.213 7.575 -2.101 1.213 7.575 0.000 -2.425 7.575" Properties=species:S:1:pos:R:3 pbc="T T T"
Y 0.000 0.000 0.000
Th 0.000 0.000 4.392
Te 0.000 0.000 17.294
Pt 0.000 0.000 13.522
```

***

# 3
## K3Tl2Cl5 (PBE-GGA)

Data for a geometry-optimized K3Tl2Cl5 structure.

Results
- Fermi-level density of states (states/eV/f.u.) = 0.0
- total moment (Bohr magnetons per cell) = 0.00
- space-group type = No. 12
- E_form (uncorrected) (kJ per mole of atoms) = -147.6
- total DFT energy (no corrections) (Ha/atom) = -0.1197

```
10
Lattice="8.114 -2.210 0.000 8.114 2.210 0.000 -6.956 0.000 9.427" Properties=species:S:1:pos:R:3 pbc="T T T"
K 0.000 0.000 0.000
K 1.942 0.000 5.905
K 7.329 0.000 3.522
Tl -2.538 0.000 7.291
Tl 11.810 0.000 2.136
Cl 1.216 0.000 2.856
Cl 5.889 0.000 0.759
Cl 4.636 0.000 4.714
Cl 3.382 0.000 8.668
Cl 8.055 0.000 6.571
```

***

# 4
## CaCdOs2 (PBE-GGA)

Data for a geometry-optimized CaCdOs2 structure.

Results
- Fermi-level density of states (states/eV/f.u.) = 5.6
- total moment (Bohr magnetons per cell) = 0.77
- space-group type = No. 139
- ΔE_f (eV per formula unit) = 3.02
- total DFT energy (no corrections) (Ha/atom) = -0.2054

```
4
Lattice="-1.990 1.990 4.586 1.990 -1.990 4.586 1.990 1.990 -4.586" Properties=species:S:1:pos:R:3 pbc="T T T"
Ca 0.000 0.000 0.000
Cd 0.000 0.000 4.586
Os 1.990 0.000 2.293
Os 0.000 1.990 2.293
```